# 1
InTc2Sn | PBEsol | relaxed

It has space group Fm-3m (No. 225), with a = 6.429 Å, b = 6.429 Å, c = 6.429 Å, α = 90.00°, β = 90.00° and γ = 90.00°. Symmetry generates all atoms from In at (0.000, 0.000, 0.000), Tc at (0.250, 0.250, 0.250) and Sn at (0.000, 0.000, 0.500).

As for the raw total energy: -7.16 eV per atom. The value obtained for the energy of formation is 0.2883 eV per atom.


# 2
KZnTe2N | PBEsol | relaxed

It has space group P4/mmm (No. 123), with a = 5.988 Å, b = 5.988 Å, c = 4.833 Å, α = 90.00°, β = 90.00° and γ = 90.00°. Symmetry generates all atoms from K at (0.000, 0.000, 0.000), Zn at (0.500, 0.500, 0.500), Te at (0.000, 0.500, 0.000) and N at (0.000, 0.000, 0.500).

Its uncorrected formation energy is 154.1 kJ/mol of atoms. As for the raw total energy: -2.06 eV per atom.


# 3
LiY2Ru | PBEsol | relaxed

It has space group P4/mmm (No. 123), with a = 3.374 Å, b = 3.374 Å, c = 8.063 Å, α = 90.00°, β = 90.00° and γ = 90.00°. Symmetry generates all atoms from Li at (0.000, 0.000, 0.000), Y at (0.500, 0.500, 0.298) and Ru at (0.000, 0.000, 0.500).

As for the raw total energy: -6.64 eV per atom. The value obtained for the energy of formation is -0.1948 eV per atom. The energy relative to the lowest polymorph listed for this composition is 35 meV per atom.


# 4
LiCr2Ru | PBEsol | relaxed

It has space group Pm (No. 6), with a = 2.473 Å, b = 3.982 Å, c = 4.837 Å, α = 90.00°, β = 98.74° and γ = 90.00°. Symmetry generates all atoms from Li at (0.000, 0.000, 0.000), Cr at (0.246, 0.500, 0.749), Cr at (0.475, 0.000, 0.507) and Ru at (0.700, 0.500, 0.243).

As for the raw total energy: -7.81 eV per atom. The value obtained for the energy of formation is 0.3428 eV per atom.


# 5
RbRuRh3 | PBEsol | relaxed

It has space group Pm-3m (No. 221), with a = 4.710 Å, b = 4.710 Å, c = 4.710 Å, α = 90.00°, β = 90.00° and γ = 90.00°. Symmetry generates all atoms from Rb at (0.000, 0.000, 0.000), Ru at (0.500, 0.500, 0.500) and Rh at (0.000, 0.500, 0.500).

As for the raw total energy: -5.91 eV per atom. The value obtained for the energy of formation is 1.2154 eV per atom.


# 6
BeCdHg2 | PBEsol | relaxed

It has space group Imm2 (No. 44), with a = 2.832 Å, b = 4.240 Å, c = 12.610 Å, α = 90.00°, β = 90.00° and γ = 90.00°. Symmetry generates all atoms from Be at (0.000, 0.000, 0.000), Cd at (0.000, 0.500, 0.688), Hg at (0.000, 0.000, 0.507) and Hg at (0.000, 0.500, 0.320).

As for the raw total energy: -1.43 eV per atom. The value obtained for the energy of formation is 0.1512 eV per atom. The energy relative to the lowest polymorph listed for this composition is 0 meV per atom.


Copy entry 2 word for word.
KZnTe2N | PBEsol | relaxed

It has space group P4/mmm (No. 123), with a = 5.988 Å, b = 5.988 Å, c = 4.833 Å, α = 90.00°, β = 90.00° and γ = 90.00°. Symmetry generates all atoms from K at (0.000, 0.000, 0.000), Zn at (0.500, 0.500, 0.500), Te at (0.000, 0.500, 0.000) and N at (0.000, 0.000, 0.500).

Its uncorrected formation energy is 154.1 kJ/mol of atoms. As for the raw total energy: -2.06 eV per atom.


Number 2 is which compound? KZnTe2N